[1]
IrRuBr2: relaxed, PBE.

abc: 3.2364 3.2364 6.5663
angles: 90.00 90.00 90.00
Closest atoms and distances in Å follow each position.
Element x y z (fractional)
Ir 0.0000 0.0000 0.0000  8 Br 2.85
Ru 0.0000 0.0000 0.5000  8 Br 2.79
Br 0.5000 0.5000 0.2579  4 Ru 2.79, 4 Ir 2.85
Br 0.5000 0.5000 0.7421  4 Ru 2.79, 4 Ir 2.85

Properties
E_tot: -4.13 eV per atom
Density of states at the Fermi level: 5.2 states/eV/f.u.
ΔE_f (raw): 4.9 eV per formula unit

=====

[2]
IrRu2Br: relaxed, PBE.

abc: 6.4724 6.4724 6.4724
angles: 125.03 125.03 81.48
Closest atoms and distances in Å follow each position.
Element x y z (fractional)
Ir 0.0000 0.0000 0.0000  4 Ru 2.37
Ir 0.7500 0.2500 0.5000  4 Ru 2.37
Ru 0.1061 0.6250 0.9811  2 Ir 2.37, 2 Br 2.51
Ru 0.3750 0.3561 0.4811  2 Ir 2.37, 2 Br 2.51
Ru 0.6439 0.1250 0.0189  2 Ir 2.37, 2 Br 2.51
Ru 0.8750 0.8939 0.5189  2 Ir 2.37, 2 Br 2.51
Br 0.2500 0.7500 0.5000  4 Ru 2.51
Br 0.5000 0.5000 0.0000  4 Ru 2.51

Properties
E_tot: -6.22 eV per atom
Density of states at the Fermi level: 2.8 states/eV/f.u.
ΔE_f (raw): 4.2 eV per formula unit

=====

[3]
IrRu2Br: relaxed, PBE.

abc: 2.8312 2.8312 9.3187
angles: 90.00 90.00 121.18
Closest atoms and distances in Å follow each position.
Element x y z (fractional)
Ir 0.0000 0.0000 0.0000  4 Ru 2.64, 6 Ir 2.78-2.83
Ru 0.5000 0.5000 0.2414  2 Ir 2.64, 6 Ru 2.78-2.83, 2 Br 2.78
Ru 0.5000 0.5000 0.7586  2 Ir 2.64, 6 Ru 2.78-2.83, 2 Br 2.78
Br 0.0000 0.0000 0.5000  6 Br 2.78-2.83, 4 Ru 2.78

Properties
E_tot: -6.40 eV per atom
Density of states at the Fermi level: 5.8 states/eV/f.u.
ΔE_f (raw): 3.5 eV per formula unit

=====

[4]
IrRuBr2: relaxed, PBE.

abc: 2.9699 4.3527 5.5914
angles: 90.00 90.00 90.00
Closest atoms and distances in Å follow each position.
Element x y z (fractional)
Ir 0.0000 0.0000 0.0000  4 Br 2.63
Ru 0.5000 0.0000 0.5000  4 Br 2.63
Br 0.0000 0.5000 0.5000  4 Ru 2.63
Br 0.5000 0.5000 0.0000  4 Ir 2.63

Properties
E_tot: -4.31 eV per atom
Density of states at the Fermi level: 4.7 states/eV/f.u.
ΔE_f (raw): 4.2 eV per formula unit